# 1
Crystalline TeRu2Pb at its relaxed geometry, computed with PBE-GGA.

Calculated values
Symmetry ... No. 216
Volume ... 19.71 A^3/atom
ΔE to the lowest computed polymorph ... 574 meV per atom
Formation energy (no corrections) ... 343 kJ/mol of formula units

Unit cell a=4.813 b=4.813 c=4.813 alpha=60.00 beta=60.00 gamma=60.00
Sites, in units of the cell vectors:
Te (0.000, 0.000, 0.000)
Ru (0.250, 0.250, 0.250)
Ru (0.500, 0.500, 0.500)
Pb (0.750, 0.750, 0.750)


# 2
Crystalline LaZrCl at its relaxed geometry, computed with PBE-GGA.

Calculated values
Symmetry ... No. 160
Volume ... 25.22 A^3/atom
ΔE to the lowest computed polymorph ... 206 meV per atom
Formation energy (no corrections) ... -204 kJ/mol of formula units

Unit cell a=7.363 b=7.363 c=7.363 alpha=27.60 beta=27.60 gamma=27.60
Sites, in units of the cell vectors:
La (0.000, 0.000, 0.000)
Zr (0.794, 0.794, 0.794)
Cl (0.547, 0.547, 0.547)


# 3
Crystalline LiCu2O2 at its relaxed geometry, computed with PBE-GGA.

Calculated values
Symmetry ... No. 166
Volume ... 9.91 A^3/atom
ΔE to the lowest computed polymorph ... 142 meV per atom
Formation energy (no corrections) ... -388 kJ/mol of formula units

Unit cell a=6.402 b=6.402 c=6.402 alpha=27.56 beta=27.56 gamma=27.56
Sites, in units of the cell vectors:
Li (0.000, 0.000, 0.000)
Cu (0.215, 0.215, 0.215)
Cu (0.785, 0.785, 0.785)
O (0.403, 0.403, 0.403)
O (0.597, 0.597, 0.597)